Here is an optimized crystal structure of PmNpTe from Alexandria. Energies are from GGA-PBE.

Lattice parameters (Å, degrees): 4.255 4.255 9.083 90.00 90.00 90.00
Sites, in units of the cell vectors:
Pm 0.836 0.336 0.867
Te 0.336 0.836 0.775
Np 0.336 0.336 0.500
Np 0.836 0.836 0.500
Te 0.836 0.336 0.225
Pm 0.336 0.836 0.133

Calculated values
Space-group type ... No. 129
Uncorrected formation energy ... -0.608 eV per atom
VASP energy ... -7.55 eV per atom
Magnetic moment ... 4.37 μB/f.u.


Here is an optimized crystal structure of Nd8ErHg2 from Alexandria. Energies are from GGA-PBE.

Lattice parameters (Å, degrees): 5.737 8.889 8.889 119.25 100.59 100.59
Sites, in units of the cell vectors:
Hg 0.000 0.306 0.694
Nd 0.500 0.775 0.225
Nd 0.898 0.909 0.685
Nd 0.102 0.091 0.315
Hg 0.000 0.694 0.306
Nd 0.500 0.225 0.775
Er 0.500 0.000 0.000
Nd 0.300 0.600 0.600
Nd 0.898 0.685 0.909
Nd 0.102 0.315 0.091
Nd 0.700 0.400 0.400

Calculated values
Space-group type ... No. 12
Calculated formation energy ... -0.063 eV per atom
VASP energy ... -4.00 eV per atom
Magnetic moment ... 0.00 μB/f.u.


Here is an optimized crystal structure of TbPmSmDy from Alexandria. Energies are from GGA-PBE.

Lattice parameters (Å, degrees): 5.723 5.723 5.723 60.00 60.00 60.00
Sites, in units of the cell vectors:
Sm 0.750 0.750 0.750
Pm 0.250 0.250 0.250
Tb 0.000 0.000 0.000
Dy 0.500 0.500 0.500

Calculated values
Space-group type ... No. 216
Energy above the lowest structure with this stoichiometry ... 0.117 eV/atom
Calculated formation energy ... 0.133 eV per atom
VASP energy ... -4.54 eV per atom
Magnetic moment ... 0.00 μB/f.u.


Here is an optimized crystal structure of TlPHCl2 from Alexandria. Energies are from GGA-PBE.

Lattice parameters (Å, degrees): 5.498 5.498 3.398 90.00 90.00 90.00
Sites, in units of the cell vectors:
Cl 0.500 0.000 0.000
P 0.000 0.000 0.500
Tl 0.500 0.500 0.500
H 0.000 0.000 0.000
Cl 0.000 0.500 0.000

Calculated values
Space-group type ... No. 123
Energy above the lowest structure with this stoichiometry ... 0.000 eV/atom
VASP energy ... -2.85 eV per atom
Magnetic moment ... 1.11 μB/f.u.


Here is an optimized crystal structure of KP2Ir2 from Alexandria. Energies are from GGA-PBE.

Lattice parameters (Å, degrees): 4.002 4.002 5.970 90.00 90.00 90.00
Sites, in units of the cell vectors:
P 0.500 0.500 0.724
K 0.000 0.000 0.000
Ir 0.500 0.000 0.500
Ir 0.000 0.500 0.500
P 0.500 0.500 0.276

Calculated values
Space-group type ... No. 123
Calculated formation energy ... -0.320 eV per atom
VASP energy ... -6.25 eV per atom
Magnetic moment ... 0.00 μB/f.u.


Here is an optimized crystal structure of ZrTi2Te3 from Alexandria. Energies are from GGA-PBE.

Lattice parameters (Å, degrees): 3.713 7.610 10.446 81.71 100.24 90.00
Sites, in units of the cell vectors:
Ti 0.681 0.529 0.361
Te 0.223 0.265 0.446
Te 0.433 0.650 0.865
Te 0.895 0.226 0.789
Ti 0.960 0.881 0.921
Zr 0.335 0.979 0.670
Ti 0.040 0.119 0.079
Te 0.105 0.774 0.211
Zr 0.665 0.021 0.330
Te 0.567 0.350 0.135
Ti 0.319 0.471 0.639
Te 0.777 0.735 0.554

Calculated values
Space-group type ... No. 12
Uncorrected formation energy ... -0.576 eV per atom
VASP energy ... -6.20 eV per atom
Magnetic moment ... 1.00 μB/f.u.